Computed, not measured: an optimized crystal structure of Ac2MnAgO5 at the GGA+U level of DFT.

Summary:
- Final energy: -6.972 eV/atom
- M_tot: 3.98 μB per formula unit

Unit cell a=7.183 b=7.183 c=5.823 alpha=90.00 beta=90.00 gamma=90.00
Fractional positions:
Ac (0.181, 0.319, 0.000)
Ac (0.319, 0.819, 0.000)
Ac (0.681, 0.181, 0.000)
Ac (0.819, 0.681, 0.000)
Mn (0.000, 0.500, 0.500)
Mn (0.500, 0.000, 0.500)
Ag (0.000, 0.000, 0.500)
Ag (0.500, 0.500, 0.500)
O (0.000, 0.000, 0.000)
O (0.129, 0.629, 0.262)
O (0.129, 0.629, 0.738)
O (0.371, 0.129, 0.262)
O (0.371, 0.129, 0.738)
O (0.500, 0.500, 0.000)
O (0.629, 0.871, 0.262)
O (0.629, 0.871, 0.738)
O (0.871, 0.371, 0.262)
O (0.871, 0.371, 0.738)